CsCd2Hg | PBE-GGA | optimized geometry

Cell: 5.5197 5.2528 5.2528 Å, 90.00 90.00 90.00°
Atoms (fractional coordinates):
Cd (0.0000, 0.5000, 0.0000)
Hg (0.5000, 0.5000, 0.5000)
Cs (0.5000, 0.0000, 0.0000)
Cd (0.0000, 0.0000, 0.5000)

Computed properties:
space group = P4/mmm (123)
energy of formation from the pure elements = 0.1 eV per formula unit
total moment = 0.00 μB per formula unit
mass density = 6.1 g/cm3
uncorrected energy = -0.72 eV/atom